[1]
Below is a relaxed structure of GdLuMgAg, with properties calculated at the PBE-GGA level.

Output
The space group is F-43m. The value obtained for the electronic total energy is -23.6 eV per cell. The formation energy comes out at -0.14 eV per atom. The density of states at the Fermi level is 4.6 states/eV/f.u.

a b c (Å): 5.225 5.225 5.225
angles (deg): 60.00 60.00 60.00
Last column: magnetic moment on the atom in μB.
Sites, in units of the cell vectors:
1 Ag 0.750 0.750 0.750  -0.01
2 Lu 0.000 0.000 0.000  -0.04
3 Mg 0.250 0.250 0.250  0.00
4 Gd 0.500 0.500 0.500  -7.10

[2]
Below is a relaxed structure of GdLuMnAg, with properties calculated at the PBE-GGA level.

Output
The space group is F-43m. The value obtained for the electronic total energy is -30.7 eV per cell. The formation energy comes out at -0.01 eV per atom. The density of states at the Fermi level is 4.8 states/eV/f.u.

a b c (Å): 5.060 5.060 5.060
angles (deg): 60.00 60.00 60.00
Last column: magnetic moment on the atom in μB.
Sites, in units of the cell vectors:
1 Lu 0.000 0.000 0.000  0.14
2 Mn 0.750 0.750 0.750  -3.56
3 Gd 0.500 0.500 0.500  7.16
4 Ag 0.250 0.250 0.250  0.01

[3]
Below is a relaxed structure of GdLuAgOs, with properties calculated at the PBE-GGA level.

Output
The space group is F-43m. The value obtained for the electronic total energy is -33.8 eV per cell. The formation energy comes out at -0.28 eV per atom. The density of states at the Fermi level is 1.9 states/eV/f.u.

a b c (Å): 4.923 4.923 4.923
angles (deg): 60.00 60.00 60.00
Last column: magnetic moment on the atom in μB.
Sites, in units of the cell vectors:
1 Ag 0.250 0.250 0.250  0.01
2 Gd 0.500 0.500 0.500  7.03
3 Os 0.750 0.750 0.750  -0.06
4 Lu 0.000 0.000 0.000  0.03